Here is a relaxed structure of LaAl2PdPb from Alexandria. Energies are from PBE.

a b c (Å): 4.782 4.782 5.602
angles (deg): 90.00 90.00 90.00
Fractional positions:
La: 0.000 0.000 0.000
Al: 0.000 0.500 0.500
Al: 0.500 0.000 0.500
Pd: 0.500 0.500 0.500
Pb: 0.500 0.500 0.000

## Properties
* Fermi-level density of states: 3.54 states/eV per cell
* space group: P4/mmm, No. 123
* energy of formation: -1.25 eV/f.u.
* calculated volume: 128.1 Å³ per cell
* magnetic moment: 0.00 μB/f.u.


Here is a relaxed structure of Dy2HoTm4Sc from Alexandria. Energies are from PBE.

a b c (Å): 4.919 4.919 9.834
angles (deg): 90.00 90.00 90.00
Fractional positions:
Dy: 0.000 0.000 0.000
Dy: 0.500 0.500 0.500
Ho: 0.000 0.000 0.500
Tm: 0.000 0.500 0.246
Tm: 0.000 0.500 0.754
Tm: 0.500 0.000 0.246
Tm: 0.500 0.000 0.754
Sc: 0.500 0.500 0.000

## Properties
* Fermi-level density of states: 11.86 states/eV per cell
* space group: P4/mmm, No. 123
* energy of formation: 0.28 eV/f.u.
* calculated volume: 237.9 Å³ per cell
* magnetic moment: 0.00 μB/f.u.


Here is a relaxed structure of ScRe2Au from Alexandria. Energies are from PBE.

a b c (Å): 5.237 5.237 5.237
angles (deg): 136.57 136.57 63.11
Fractional positions:
Sc: 0.000 0.000 0.000
Re: 0.250 0.750 0.500
Re: 0.750 0.250 0.500
Au: 0.500 0.500 0.000

## Properties
* Fermi-level density of states: 4.62 states/eV per cell
* space group: I4/mmm, No. 139
* energy relative to the lowest polymorph listed for this composition: 334 meV/atom
* energy of formation: 0.84 eV/f.u.
* calculated volume: 67.0 Å³ per cell
* magnetic moment: 0.00 μB/f.u.


Here is a relaxed structure of ZnHgW2 from Alexandria. Energies are from PBE.

a b c (Å): 5.366 5.366 2.755
angles (deg): 96.99 96.99 119.14
Fractional positions:
Zn: 0.000 0.000 0.000
Hg: 0.500 0.500 0.000
W: 0.000 0.500 0.500
W: 0.500 0.000 0.500

## Properties
* Fermi-level density of states: 2.25 states/eV per cell
* space group: C2/m, No. 12
* energy relative to the lowest polymorph listed for this composition: 241 meV/atom
* energy of formation: 2.47 eV/f.u.
* calculated volume: 67.3 Å³ per cell
* magnetic moment: 0.00 μB/f.u.


Here is a relaxed structure of Rb2MgS2 from Alexandria. Energies are from PBE.

a b c (Å): 7.521 7.521 5.102
angles (deg): 90.00 90.00 90.00
Fractional positions:
Rb: 0.144 0.356 0.000
Rb: 0.356 0.856 0.000
Rb: 0.644 0.144 0.000
Rb: 0.856 0.644 0.000
Mg: 0.000 0.000 0.500
Mg: 0.500 0.500 0.500
S: 0.184 0.684 0.500
S: 0.316 0.184 0.500
S: 0.684 0.816 0.500
S: 0.816 0.316 0.500

## Properties
* Fermi-level density of states: 0.00 states/eV per cell
* space group: P4/mbm, No. 127
* raw formation energy: -3.9 eV per formula unit
* calculated volume: 288.6 Å³ per cell
* magnetic moment: 0.00 μB/f.u.


Here is a relaxed structure of Pm4C2Cl from Alexandria. Energies are from PBE.

a b c (Å): 13.890 13.890 13.890
angles (deg): 15.35 15.35 15.35
Fractional positions:
Pm: 0.121 0.121 0.121
Pm: 0.280 0.280 0.280
Pm: 0.720 0.720 0.720
Pm: 0.879 0.879 0.879
C: 0.419 0.419 0.419
C: 0.581 0.581 0.581
Cl: 0.000 0.000 0.000

## Properties
* Fermi-level density of states: 4.69 states/eV per cell
* space group: R-3m, No. 166
* raw formation energy: -4.6 eV per formula unit
* calculated volume: 163.7 Å³ per cell
* magnetic moment: 0.00 μB/f.u.